{
  "formula": "Co2TeMo",
  "functional": "PBE",
  "state": "relaxed",
  "space_group": "I-4m2 (119)",
  "e_form_raw_ev_per_atom": 0.340,
  "magmom_total_mub_per_fu": 3.0,
  "lattice": [[3.740, 0.000, 0.000], [0.000, 3.740, 0.000], [0.000, 0.000, 8.307]],
  "species": ["Co", "Co", "Co", "Co", "Te", "Te", "Mo", "Mo"],
  "fractional_positions": [[0.000, 0.000, 0.000], [0.000, 0.500, 0.250], [0.500, 0.000, 0.750], [0.500, 0.500, 0.500], [0.000, 0.000, 0.500], [0.500, 0.500, 0.000], [0.000, 0.500, 0.750], [0.500, 0.000, 0.250]]
}